This record from Alexandria via LeMat-Bulk describes a geometry-optimized Pr5BiPb2 structure. The functional is PBE-GGA.

The space group is No. 140.

abc: 9.423 9.423 9.423
angles: 125.79 125.79 80.23
Positions (direct):
Pr 0.000 0.000 0.000
Pr 0.008 0.508 0.817
Pr 0.191 0.008 0.500
Pr 0.309 0.809 0.817
Pr 0.492 0.309 0.500
Pr 0.500 0.500 0.000
Pr 0.508 0.691 0.500
Pr 0.691 0.191 0.183
Pr 0.809 0.992 0.500
Pr 0.992 0.492 0.183
Bi 0.250 0.250 0.000
Bi 0.750 0.750 0.000
Pb 0.142 0.358 0.500
Pb 0.358 0.858 0.217
Pb 0.642 0.142 0.783
Pb 0.858 0.642 0.500



This record from Alexandria via LeMat-Bulk describes a geometry-optimized Pr2BiPb structure. The functional is PBE-GGA.

The energy above the most stable polymorph in this dataset is 0.89 eV per formula unit. The space group is No. 225.

abc: 5.658 5.658 5.658
angles: 60.00 60.00 60.00
Positions (direct):
Pr 0.250 0.250 0.250
Pr 0.750 0.750 0.750
Bi 0.000 0.000 0.000
Pb 0.500 0.500 0.500



This record from Alexandria via LeMat-Bulk describes a geometry-optimized Pr5Bi4Pb structure. The functional is PBE-GGA.

The space group is No. 87.

abc: 8.026 8.026 8.026
angles: 99.60 99.60 131.80
Positions (direct):
Pr 0.000 0.000 0.000
Pr 0.200 0.601 0.801
Pr 0.399 0.200 0.599
Pr 0.601 0.800 0.401
Pr 0.800 0.399 0.199
Bi 0.099 0.300 0.400
Bi 0.300 0.901 0.201
Bi 0.700 0.099 0.799
Bi 0.901 0.700 0.600
Pb 0.500 0.500 0.000



This record from Alexandria via LeMat-Bulk describes a geometry-optimized Pr2Bi5Pb structure. The functional is PBE-GGA.

The space group is No. 139.

abc: 7.024 7.024 7.024
angles: 118.18 118.18 93.19
Positions (direct):
Pr 0.000 0.500 0.500
Pr 0.500 0.000 0.500
Bi 0.000 0.000 0.000
Bi 0.000 0.000 0.500
Bi 0.000 0.500 0.000
Bi 0.500 0.000 0.000
Bi 0.500 0.500 0.500
Pb 0.500 0.500 0.000



Number 1: total DFT energy (no corrections) -4.9658 eV per atom. Number 2: total DFT energy (no corrections) -4.8295 eV per atom. Number 3: total DFT energy (no corrections) -5.1659 eV per atom. Number 4: total DFT energy (no corrections) -4.5388 eV per atom.